(1)
{"formula": "ZnOs2Rh2", "functional": "GGA-PBEsol", "state": "optimized geometry", "sg": "I4/mmm, No. 139", "cell": [[-1.520, -1.672, -2.922], [-0.390, -3.097, 1.974], [-4.269, 4.135, 2.189]], "species": ["Rh", "Rh", "Zn", "Os", "Os"], "fractional_positions": [[0.250, 0.750, 0.500], [0.750, 0.250, 0.500], [0.000, 0.000, 0.000], [0.400, 0.400, 0.800], [0.600, 0.600, 0.200]]}

***

(2)
{"formula": "ZnOsRh2", "functional": "GGA-PBEsol", "state": "optimized geometry", "sg": "Cmmm, No. 65", "cell": [[-2.521, -0.922, -0.059], [1.186, -3.035, -3.259], [0.619, -1.956, 4.127]], "species": ["Os", "Rh", "Rh", "Zn"], "fractional_positions": [[0.500, 0.500, 0.500], [0.000, 0.500, 0.000], [0.000, 0.000, 0.500], [0.500, 0.000, 0.000]]}

***

(3)
{"formula": "Zr2OsRh", "functional": "GGA-PBEsol", "state": "optimized geometry", "sg": "P4/mmm, No. 123", "cell": [[-1.466, -1.253, 2.595], [4.027, -0.106, 2.224], [-0.776, 4.240, 1.608]], "species": ["Rh", "Os", "Zr", "Zr"], "fractional_positions": [[0.000, 0.000, 0.000], [0.000, 0.500, 0.500], [0.500, 0.500, 0.000], [0.500, 0.000, 0.500]]}

***

(4)
{"formula": "ZrOsRh2", "functional": "GGA-PBEsol", "state": "optimized geometry", "sg": "I-4m2, No. 119", "de_polymorph_kj_per_mol_atoms": 0.0, "cell": [[3.930, 0.000, 0.000], [0.000, 3.930, 0.000], [-1.965, -1.965, 3.914]], "species": ["Os", "Rh", "Rh", "Zr"], "fractional_positions": [[0.250, 0.750, 0.500], [0.000, 0.000, 0.000], [0.750, 0.250, 0.500], [0.500, 0.500, 0.000]]}

***

(5)
{"formula": "ZrOsRh2", "functional": "GGA-PBEsol", "state": "optimized geometry", "sg": "C2/m, No. 12", "de_polymorph_kj_per_mol_atoms": 6.6, "cell": [[-0.508, 1.995, 1.993], [-0.743, -3.391, 3.205], [4.763, -0.321, -0.526]], "species": ["Os", "Rh", "Rh", "Zr"], "fractional_positions": [[0.000, 0.500, 0.000], [0.256, 0.268, 0.513], [0.744, 0.732, 0.487], [0.500, 0.000, 0.000]]}

***

(6)
{"formula": "ZrOsRh", "functional": "GGA-PBEsol", "state": "optimized geometry", "sg": "P-6m2, No. 187", "de_polymorph_kj_per_mol_atoms": 0.0, "cell": [[-1.967, 0.140, 1.902], [2.813, -1.700, 3.034], [-0.250, 4.427, -0.584]], "species": ["Os", "Rh", "Zr"], "fractional_positions": [[0.000, 0.000, 0.000], [0.500, 0.333, 0.667], [0.500, 0.667, 0.333]]}

***

(7)
{"formula": "Zr2OsRh", "functional": "GGA-PBEsol", "state": "optimized geometry", "sg": "F-43m, No. 216", "cell": [[-0.908, 4.003, 1.955], [-4.285, 1.093, 1.059], [-1.295, 0.161, 4.355]], "species": ["Os", "Rh", "Zr", "Zr"], "fractional_positions": [[0.500, 0.500, 0.500], [0.250, 0.250, 0.250], [0.000, 0.000, 0.000], [0.750, 0.750, 0.750]]}

***

(8)
{"formula": "ZrOsRh3", "functional": "GGA-PBEsol", "state": "optimized geometry", "sg": "Pm-3m, No. 221", "cell": [[-0.304, -4.101, 2.095], [2.599, 1.581, 3.471], [-3.802, 1.408, 2.205]], "species": ["Rh", "Rh", "Rh", "Os", "Zr"], "fractional_positions": [[0.000, 0.500, 0.000], [0.000, 0.000, 0.500], [0.500, 0.000, 0.000], [0.000, 0.000, 0.000], [0.500, 0.500, 0.500]]}

***

no.,total magnetic moment (μB per cell),density (g/cm³),energy relative to the elements (meV/atom)
1,0.0,13.75,608
2,0.0,14.18,-15
3,0.0,11.54,-645
4,0.0,13.39,-296
5,0.0,13.28,-228
6,0.0,13.45,-41
7,0.0,11.88,-196
8,0.0,9.97,1075